Record 1
The following is a DFT calculation (PBE-GGA) of LiCe2Ge after structural relaxation.

```
LiCe2Ge
1.0
-3.068 1.739 2.763
-2.624 -3.460 -0.736
1.848 -2.122 3.388
Ge Ce Li
1 2 1
Direct
0.500 0.000 0.000
0.000 0.500 0.000
0.000 0.000 0.500
0.500 0.500 0.500
```

Summary:
DFT formation energy: -133.5 kJ/mol of formula units
Space-group type: No. 123
Total energy: -19.782 eV per cell
Total moment: 0.4 μB/cell

=====

Record 2
The following is a DFT calculation (PBE-GGA) of LiCe5Ge4 after structural relaxation.

```
LiCe5Ge4
1.0
-0.773 -2.742 3.276
-2.156 -4.895 -4.606
7.764 -1.079 -1.949
Ge Ce Li
4 5 1
Direct
0.968 0.772 0.935
0.345 0.806 0.689
0.032 0.228 0.065
0.655 0.194 0.311
0.155 0.885 0.310
0.845 0.115 0.690
0.195 0.487 0.389
0.805 0.513 0.611
0.500 0.500 0.000
0.500 0.000 0.000
```

Summary:
DFT formation energy: -386.3 kJ/mol of formula units
Space-group type: No. 12
Total energy: -54.056 eV per cell
Total moment: 3.5 μB/cell

=====

Record 3
The following is a DFT calculation (PBE-GGA) of Li2Ce3Ge3 after structural relaxation.

```
Li2Ce3Ge3
1.0
-0.925 1.956 5.569
-8.281 -2.495 -0.500
6.013 -5.504 2.932
Ge Li Ce
6 4 6
Direct
0.250 0.631 0.631
0.250 0.000 0.369
0.750 0.000 0.631
0.250 0.369 0.000
0.750 0.631 0.000
0.750 0.369 0.369
0.000 0.667 0.333
0.500 0.667 0.333
0.000 0.333 0.667
0.500 0.333 0.667
0.750 0.000 0.294
0.750 0.706 0.706
0.250 0.706 0.000
0.250 0.000 0.706
0.250 0.294 0.294
0.750 0.294 0.000
```

Summary:
DFT formation energy: -401.2 kJ/mol of formula units
Space-group type: No. 193
Total energy: -79.279 eV per cell
Total moment: 3.9 μB/cell

=====

Record 4
The following is a DFT calculation (PBE-GGA) of LiCe2Ge after structural relaxation.

```
LiCe2Ge
1.0
-1.146 0.527 -2.802
-2.942 -0.649 -0.604
-4.382 10.621 2.105
Ge Ce Li
1 2 1
Direct
0.500 0.500 0.500
0.092 0.092 0.724
0.908 0.908 0.276
0.000 0.000 0.000
```

Summary:
DFT formation energy: -4.2 kJ/mol of formula units
Space-group type: No. 166
Total energy: -18.443 eV per cell
Total moment: 0.0 μB/cell